(1)
A geometry-optimized DyNi7B5 structure, computed with PBE.

Unit cell a=4.4278 b=5.7705 c=5.7705 alpha=82.66 beta=67.44 gamma=67.44
Fractional positions:
Ni  0.5367  0.7540  0.1725
Ni  0.9658  0.3803  0.6880
B  0.0503  0.4983  0.9938
Dy  0.9913  0.0087  0.0087
B  0.4576  0.4983  0.9938
Ni  0.9658  0.6880  0.3803
Ni  0.6501  0.3499  0.3499
B  0.0503  0.9938  0.4983
Ni  0.3386  0.6614  0.6614
Ni  0.2670  0.2330  0.2330
B  0.4576  0.9938  0.4983
Ni  0.5367  0.1725  0.7540
B  0.7320  0.7680  0.7680

Results
Magnetic moment   0.00 μB per cell
Fermi-level density of states   7.12 states/eV/cell
Raw total energy   -6.1581 eV/atom
Crystal system   orthorhombic
E_form   -0.1228 eV per atom

---

(2)
A geometry-optimized CsLiBe2Cl6 structure, computed with PBE.

Unit cell a=6.6977 b=6.6977 c=8.5778 alpha=67.02 beta=67.02 gamma=60.00
Fractional positions:
Cl  0.5186  0.6922  0.7089
Cl  0.6922  0.0802  0.7089
Cl  0.0802  0.5186  0.7089
Cl  0.3078  0.9198  0.2911
Cs  0.0000  0.0000  0.0000
Cl  0.9198  0.4814  0.2911
Cl  0.4814  0.3078  0.2911
Be  0.7676  0.7676  0.6973
Be  0.2324  0.2324  0.3027
Li  0.5000  0.5000  0.5000

Results
Energy relative to the elements, uncorrected   -1.603 eV per atom
Magnetic moment   0.00 μB per cell
Fermi-level density of states   0.00 states/eV/cell
Raw total energy   -3.7325 eV/atom
Crystal system   trigonal

---

(3)
A geometry-optimized TaGeOs2 structure, computed with PBE.

Unit cell a=3.0628 b=3.0628 c=6.5049 alpha=90.00 beta=90.00 gamma=90.00
Fractional positions:
Os  0.0000  0.0000  0.2318
Ta  0.5000  0.5000  0.5000
Os  0.0000  0.0000  0.7682
Ge  0.5000  0.5000  0.0000

Results
Magnetic moment   0.00 μB per cell
Fermi-level density of states   3.27 states/eV/cell
Raw total energy   -9.7944 eV/atom
Crystal system   tetragonal
E_form   -0.0621 eV per atom

---

(4)
A geometry-optimized SnPPt3 structure, computed with PBE.

Unit cell a=4.5959 b=4.5959 c=4.5959 alpha=90.00 beta=90.00 gamma=90.00
Fractional positions:
P  0.0000  0.0000  0.0000
Pt  0.0000  0.0000  0.5000
Pt  0.0000  0.5000  0.0000
Pt  0.5000  0.0000  0.0000
Sn  0.5000  0.5000  0.5000

Results
Distance to the lowest polymorph of the same formula   0 meV per atom
Magnetic moment   0.00 μB per cell
Fermi-level density of states   2.65 states/eV/cell
Raw total energy   -5.5636 eV/atom
Crystal system   cubic
E_form   -0.0566 eV per atom

---

(5)
A geometry-optimized SmPa2Cl8 structure, computed with PBE.

Unit cell a=8.0143 b=7.1298 c=7.1298 alpha=56.52 beta=88.82 gamma=88.82
Fractional positions:
Cl  0.7430  0.7061  0.2059
Cl  0.8476  0.1958  0.1958
Cl  0.1524  0.8042  0.8042
Cl  0.7430  0.2059  0.7061
Cl  0.2570  0.2939  0.7941
Sm  0.0000  0.0000  0.0000
Pa  0.5359  0.0957  0.0957
Cl  0.2570  0.7941  0.2939
Cl  0.4245  0.2990  0.2990
Pa  0.4641  0.9043  0.9043
Cl  0.5755  0.7010  0.7010

Results
Energy relative to the elements, uncorrected   -1.712 eV per atom
Magnetic moment   0.92 μB per cell
Fermi-level density of states   1.76 states/eV/cell
Raw total energy   -5.2107 eV/atom
Crystal system   monoclinic

---

(6)
A geometry-optimized ErTi2V structure, computed with PBE.

Unit cell a=3.3147 b=3.3147 c=6.9784 alpha=90.00 beta=90.00 gamma=90.00
Fractional positions:
Ti  0.0000  0.0000  0.8083
Er  0.5000  0.5000  0.5000
V  0.5000  0.5000  0.0000
Ti  0.0000  0.0000  0.1917

Results
Magnetic moment   0.00 μB per cell
Fermi-level density of states   6.35 states/eV/cell
Raw total energy   -7.2182 eV/atom
Crystal system   tetragonal
E_form   0.1496 eV per atom

---

(7)
A geometry-optimized Y7Br12N structure, computed with PBE.

Unit cell a=8.9590 b=8.9590 c=8.9590 alpha=107.79 beta=107.79 gamma=107.79
Fractional positions:
Br  0.0777  0.6878  0.2261
Br  0.7739  0.9223  0.3122
Br  0.5326  0.8482  0.6138
N  0.0000  0.0000  0.0000
Br  0.3862  0.4674  0.1518
Br  0.2261  0.0777  0.6878
Br  0.3122  0.7739  0.9223
Y  0.1004  0.0312  0.2974
Br  0.9223  0.3122  0.7739
Y  0.5000  0.5000  0.5000
Br  0.8482  0.6138  0.5326
Y  0.9688  0.7026  0.8996
Y  0.2974  0.1004  0.0312
Br  0.6138  0.5326  0.8482
Br  0.6878  0.2261  0.0777
Y  0.8996  0.9688  0.7026
Y  0.7026  0.8996  0.9688
Br  0.4674  0.1518  0.3862
Br  0.1518  0.3862  0.4674
Y  0.0312  0.2974  0.1004

Results
Energy relative to the elements, uncorrected   -1.667 eV per atom
Magnetic moment   0.00 μB per cell
Fermi-level density of states   11.67 states/eV/cell
Raw total energy   -5.3499 eV/atom
Crystal system   trigonal

---

(8)
A geometry-optimized LaTh2N structure, computed with PBE.

Unit cell a=3.5795 b=3.5795 c=9.9174 alpha=79.60 beta=79.60 gamma=60.00
Fractional positions:
Th  0.8831  0.8831  0.3508
Th  0.1169  0.1169  0.6492
N  0.5000  0.5000  0.5000
La  0.0000  0.0000  0.0000

Results
Energy relative to the elements, uncorrected   -0.495 eV per atom
Magnetic moment   0.00 μB per cell
Fermi-level density of states   5.74 states/eV/cell
Raw total energy   -7.5184 eV/atom
Crystal system   trigonal

---

(9)
A geometry-optimized Ho3Zr5Tl12 structure, computed with PBE.

Unit cell a=15.0427 b=15.0427 c=15.0427 alpha=109.47 beta=109.47 gamma=109.47
Fractional positions:
Ho  0.7500  0.3750  0.1250
Tl  0.0585  0.4247  0.8341
Tl  0.4415  0.6659  0.0753
Zr  0.5000  0.5000  0.5000
Tl  0.4247  0.0585  0.3341
Tl  0.0906  0.9247  0.3662
Zr  0.2500  0.3750  0.6250
Tl  0.9415  0.5753  0.1659
Zr  0.6250  0.7500  0.8750
Tl  0.5753  0.6338  0.4094
Zr  0.1250  0.7500  0.3750
Tl  0.6659  0.4415  0.5753
Tl  0.3341  0.7756  0.4094
Tl  0.0753  0.9094  0.1338
Tl  0.8662  0.5906  0.9247
Tl  0.3662  0.4247  0.0906
Tl  0.5753  0.9415  0.6659
Tl  0.6338  0.0585  0.2244
Tl  0.2756  0.4094  0.8341
Tl  0.4415  0.7756  0.8662
Ho  0.6250  0.3750  0.7500
Ho  0.2500  0.1250  0.3750
Ho  0.6250  0.2500  0.3750
Ho  0.8750  0.1250  0.2500
Tl  0.5906  0.8662  0.4247
Tl  0.1659  0.0906  0.7244
Tl  0.7244  0.5906  0.1659
Zr  0.7500  0.6250  0.3750
Tl  0.0585  0.6338  0.7244
Zr  0.0000  0.0000  0.5000
Tl  0.8662  0.2756  0.4415
Tl  0.9247  0.0906  0.8662
Tl  0.3341  0.5585  0.4247
Tl  0.0906  0.1659  0.2244
Tl  0.4094  0.2756  0.3341
Tl  0.6659  0.2244  0.5906
Tl  0.7756  0.3341  0.9094
Zr  0.1250  0.3750  0.2500
Tl  0.8341  0.9094  0.2756
Zr  0.5000  0.0000  0.0000
Zr  0.7500  0.1250  0.8750
Tl  0.9094  0.0753  0.6338
Ho  0.8750  0.7500  0.1250
Tl  0.1338  0.7244  0.5585
Tl  0.0753  0.1659  0.4415
Tl  0.2244  0.5585  0.6338
Zr  0.8750  0.6250  0.7500
Tl  0.9094  0.8341  0.7756
Tl  0.7244  0.1338  0.0585
Zr  0.2500  0.8750  0.1250
Tl  0.2756  0.8662  0.9415
Ho  0.3750  0.7500  0.6250
Ho  0.7500  0.8750  0.6250
Zr  0.0000  0.5000  0.5000
Tl  0.5585  0.2244  0.1338
Zr  0.8750  0.2500  0.6250
Zr  0.0000  0.0000  0.0000
Tl  0.2244  0.6659  0.0906
Tl  0.5906  0.7244  0.6659
Zr  0.3750  0.2500  0.1250
Ho  0.2500  0.6250  0.8750
Tl  0.8341  0.9247  0.0585
Zr  0.3750  0.1250  0.7500
Zr  0.5000  0.0000  0.5000
Zr  0.5000  0.5000  0.0000
Tl  0.9247  0.8341  0.5585
Tl  0.7756  0.4415  0.3662
Ho  0.1250  0.2500  0.8750
Tl  0.4247  0.3662  0.5906
Ho  0.3750  0.6250  0.2500
Tl  0.4094  0.1338  0.5753
Tl  0.5585  0.3341  0.9247
Tl  0.3662  0.9415  0.7756
Tl  0.1338  0.4094  0.0753
Zr  0.6250  0.8750  0.2500
Tl  0.6338  0.5753  0.9094
Tl  0.1659  0.0753  0.9415
Tl  0.9415  0.3662  0.2756
Zr  0.0000  0.5000  0.0000
Ho  0.1250  0.8750  0.7500

Results
Magnetic moment   0.00 μB per cell
Fermi-level density of states   85.98 states/eV/cell
Raw total energy   -3.6963 eV/atom
Crystal system   cubic
E_form   0.5472 eV per atom

---

(10)
A geometry-optimized Ba2Au structure, computed with PBE.

Unit cell a=9.0172 b=9.0172 c=5.1919 alpha=90.00 beta=90.00 gamma=120.00
Fractional positions:
Ba  0.2611  0.0000  0.0000
Ba  0.0000  0.5972  0.5000
Ba  0.7389  0.7389  0.0000
Ba  0.4028  0.4028  0.5000
Ba  0.0000  0.2611  0.0000
Ba  0.5972  0.0000  0.5000
Au  0.3333  0.6667  0.0000
Au  0.0000  0.0000  0.5000
Au  0.6667  0.3333  0.0000

Results
Magnetic moment   0.00 μB per cell
Fermi-level density of states   11.06 states/eV/cell
Raw total energy   -2.8227 eV/atom
Crystal system   hexagonal
E_form   -0.4484 eV per atom

---

(11)
A geometry-optimized BeTcHg2 structure, computed with PBE.

Unit cell a=5.2424 b=5.2424 c=5.2424 alpha=136.32 beta=136.32 gamma=63.49
Fractional positions:
Be  0.7500  0.2500  0.5000
Hg  0.0000  0.0000  0.0000
Tc  0.2500  0.7500  0.5000
Hg  0.5000  0.5000  0.0000

Results
Magnetic moment   0.53 μB per cell
Fermi-level density of states   2.69 states/eV/cell
Raw total energy   -2.9606 eV/atom
Crystal system   tetragonal
E_form   0.7133 eV per atom

---

(12)
A geometry-optimized LiRu3 structure, computed with PBE.

Unit cell a=4.7409 b=4.7409 c=4.7409 alpha=134.49 beta=134.49 gamma=66.32
Fractional positions:
Ru  0.2500  0.7500  0.5000
Li  0.0000  0.0000  0.0000
Ru  0.7500  0.2500  0.5000
Ru  0.5000  0.5000  0.0000

Results
Magnetic moment   0.00 μB per cell
Fermi-level density of states   4.94 states/eV/cell
Raw total energy   -7.1644 eV/atom
Crystal system   tetragonal
E_form   0.2709 eV per atom